## Ga3FeBi (PBE-GGA)

Data for a geometry-optimized Ga3FeBi structure.

Computed properties:
The total moment comes out at 1.99 μB/cell. The energy above the most stable polymorph in this dataset is 0.000 eV per atom. Its density is 7.43 Mg/m³.

a b c (Å): 4.731 4.731 4.731
angles (deg): 90.00 90.00 90.00
Sites, in units of the cell vectors:
Ga (0.000, 0.000, 0.500)
Ga (0.000, 0.500, 0.000)
Ga (0.500, 0.000, 0.000)
Fe (0.000, 0.000, 0.000)
Bi (0.500, 0.500, 0.500)